Record 1
Density functional theory data (PBE-GGA) for a geometry-optimized BaHoTl6 structure.

Properties
The formation energy comes out at -0.226 eV/atom. The volume is 30.22 A^3/atom. The value obtained for the total energy is -2.813 eV per atom. The symmetry is P4/mmm, No. 123. As for the density of states at the Fermi level: 0.4798 states/eV per atom.

Lattice parameters (Å, degrees): 4.951 4.951 9.863 90.00 90.00 90.00
Positions (direct):
Tl  0.500  0.500  0.500
Tl  0.500  0.000  0.733
Tl  0.500  0.500  0.000
Tl  0.000  0.500  0.267
Tl  0.500  0.000  0.267
Tl  0.000  0.500  0.733
Ho  0.000  0.000  0.500
Ba  0.000  0.000  0.000

=====

Record 2
Density functional theory data (PBE-GGA) for a geometry-optimized BaHoTl structure.

Properties
The formation energy comes out at -0.136 eV/atom. The volume is 37.34 A^3/atom. The value obtained for the total energy is -3.092 eV per atom. The symmetry is I4mm, No. 107. As for the density of states at the Fermi level: 1.3170 states/eV per atom. As for the excess energy over the best structure of this formula in the dataset: 14.1 kJ per mole of atoms.

Lattice parameters (Å, degrees): 4.017 4.017 7.500 105.53 105.53 90.00
Positions (direct):
Ba  0.014  0.014  0.027
Ho  0.294  0.294  0.587
Tl  0.693  0.693  0.386

=====

Record 3
Density functional theory data (PBE-GGA) for a geometry-optimized Ba3HoTl12 structure.

Properties
The formation energy comes out at -0.236 eV/atom. The volume is 32.33 A^3/atom. The value obtained for the total energy is -2.658 eV per atom. The symmetry is P4/mmm, No. 123. As for the density of states at the Fermi level: 0.6441 states/eV per atom.

Lattice parameters (Å, degrees): 5.056 5.056 20.233 90.00 90.00 90.00
Positions (direct):
Tl  0.000  0.500  0.109
Tl  0.500  0.000  0.371
Tl  0.500  0.000  0.891
Tl  0.000  0.500  0.629
Tl  0.500  0.500  0.000
Tl  0.500  0.000  0.629
Tl  0.500  0.500  0.500
Tl  0.000  0.500  0.371
Tl  0.500  0.500  0.261
Tl  0.500  0.500  0.739
Tl  0.000  0.500  0.891
Tl  0.500  0.000  0.109
Ho  0.000  0.000  0.000
Ba  0.000  0.000  0.765
Ba  0.000  0.000  0.500
Ba  0.000  0.000  0.235